*one*
Pr2SnAs: relaxed, PBE.

POSCAR file:
```
Pr2SnAs
1.0
4.3677 0.0000 0.0000
0.0000 4.5110 0.0000
0.0000 -2.2555 12.1078
Pr Sn As
4 2 2
direct
0.7500 0.9313 0.8626
0.7500 0.6889 0.3778
0.2500 0.0687 0.1374
0.2500 0.3111 0.6222
0.7500 0.5438 0.0876
0.2500 0.4562 0.9124
0.7500 0.8109 0.6218
0.2500 0.1891 0.3782
```

Fermi-level density of states	3.82	states/eV per cell
theoretical density	6.62	g/cm3



*two*
Pr2SnAs: relaxed, PBE.

POSCAR file:
```
Pr2SnAs
1.0
4.2466 0.0000 0.0000
2.1233 3.6777 0.0000
2.1233 1.2259 7.8595
As Pr Sn
1 2 1
direct
0.0000 0.0000 0.0000
0.2593 0.2593 0.2222
0.7407 0.7407 0.7778
0.5000 0.5000 0.5000
```

Fermi-level density of states	1.16	states/eV per cell
theoretical density	6.43	g/cm3



*three*
Pr2SnAs: relaxed, PBE.

POSCAR file:
```
Pr2SnAs
1.0
4.1508 0.0000 0.0000
2.0754 3.5947 0.0000
2.0754 1.1982 8.2994
Pr As Sn
2 1 1
direct
0.2626 0.2626 0.2123
0.0708 0.0708 0.7876
0.6674 0.6674 0.9977
0.4992 0.4992 0.5025
```

Fermi-level density of states	2.33	states/eV per cell
theoretical density	6.38	g/cm3



It is *three* that is the least stable of them.



*one*
Pr3TeAs2: relaxed, PBE.

POSCAR file:
```
Pr3TeAs2
1.0
8.0951 0.0000 4.2642
3.0340 6.6884 4.0561
0.7826 0.6218 8.3302
Pr As Te
6 4 2
direct
0.0000 0.7295 0.2705
0.0000 0.2705 0.7295
0.5000 0.2295 0.7705
0.5000 0.0000 0.5000
0.5000 0.5000 0.0000
0.5000 0.7705 0.2295
0.6602 0.5526 0.5526
0.2655 0.9474 0.9474
0.7345 0.0526 0.0526
0.3398 0.4474 0.4474
0.8048 0.7500 0.7500
0.1952 0.2500 0.2500
```

Fermi-level density of states	4.87	states/eV per cell
theoretical density	5.59	g/cm3



*two*
Pr3TeAs2: relaxed, PBE.

POSCAR file:
```
Pr3TeAs2
1.0
4.3575 0.0000 0.0000
0.0000 6.2290 0.0000
-2.1788 -3.1145 6.5990
Pr Te As
3 1 2
direct
0.8190 0.3190 0.1379
0.1810 0.6810 0.8621
0.5000 0.0000 0.5000
0.5000 0.5000 0.5000
0.8366 0.8366 0.1733
0.1634 0.1634 0.8267
```

Fermi-level density of states	1.97	states/eV per cell
theoretical density	6.49	g/cm3



It is *one* that is the least stable of them.